A geometry-optimized NiO structure. Source: Alexandria via LeMat-Bulk, functional PBE with a Hubbard U.

Computed properties:
SG: No. 38
Total energy in Ry/atom: -0.3349
Magnetic moment in μB/cell: 12.000

Structure (CIF):
```
data_NiO
_cell_length_a 2.9800
_cell_length_b 9.2667
_cell_length_c 5.5560
_cell_angle_alpha 90.00
_cell_angle_beta 90.00
_cell_angle_gamma 90.00
_space_group_name_H-M_alt 'P 1'
_space_group_IT_number 1
_space_group_name_Hall 'P 1'
loop_
_atom_site_label
_atom_site_type_symbol
_atom_site_fract_x
_atom_site_fract_y
_atom_site_fract_z
O1 O 0.5000 0.7139 0.1412
O2 O 0.5000 0.7861 0.6412
O3 O 0.5000 0.2139 0.6412
O4 O 0.0000 0.0000 0.3868
O5 O 0.5000 0.2861 0.1412
O6 O 0.0000 0.5000 0.8868
Ni1 Ni 0.0000 0.7156 0.8609
Ni2 Ni 0.0000 0.2844 0.8609
Ni3 Ni 0.5000 0.5000 0.1110
Ni4 Ni 0.0000 0.2156 0.3609
Ni5 Ni 0.0000 0.7844 0.3609
Ni6 Ni 0.5000 0.0000 0.6110
```